## InPO2 (GGA-PBE)

Data for crystalline InPO2 at its relaxed geometry.

The crystal system is trigonal. As for the space-group type: No. 166. As for the distance to the lowest polymorph of the same formula: 0.00 eV/f.u. The value obtained for the formation energy without anion corrections is -0.869 eV/atom. Its total moment is 0.000 μB/atom.

a b c (Å): 6.4959 6.4959 6.4959
angles (deg): 28.68 28.68 28.68
Fractional coordinates of all 4 atoms:
P (0.0000, 0.0000, 0.0000)
O (0.8958, 0.8958, 0.8958)
O (0.1042, 0.1042, 0.1042)
In (0.5000, 0.5000, 0.5000)